# 1
{
  "formula": "SrTlAs",
  "functional": "PBE",
  "state": "optimized geometry",
  "cell": [[4.506, 0.000, 0.000], [-2.253, 3.902, 0.000], [0.000, 0.000, 5.378]],
  "species": ["Sr", "Tl", "As"],
  "frac_coords": [[0.000, 0.000, 0.000], [0.667, 0.333, 0.437], [0.333, 0.667, 0.695]],
  "spacegroup": "No. 156",
  "formation_enthalpy_0k_ev_per_atom": -0.65,
  "final_energy_ev_per_cell": -10.6
}


# 2
{
  "formula": "Sr2TlAs",
  "functional": "PBE",
  "state": "optimized geometry",
  "cell": [[-2.330, 2.330, 5.851], [2.330, -2.330, 5.851], [2.330, 2.330, -5.851]],
  "species": ["Sr", "Sr", "Tl", "As"],
  "frac_coords": [[0.000, 0.000, 0.000], [0.750, 0.250, 0.500], [0.250, 0.750, 0.500], [0.500, 0.500, 0.000]],
  "spacegroup": "No. 119",
  "polymorph_energy_mev_per_atom": 196,
  "formation_enthalpy_0k_ev_per_atom": -0.51,
  "final_energy_ev_per_cell": -12.4
}


# 3
{
  "formula": "Sr8Tl2As",
  "functional": "PBE",
  "state": "optimized geometry",
  "cell": [[10.234, -2.245, 0.000], [10.234, 2.245, 0.000], [-1.130, 0.000, 10.710]],
  "species": ["Sr", "Sr", "Sr", "Sr", "Sr", "Sr", "Sr", "Sr", "Tl", "Tl", "As"],
  "frac_coords": [[0.005, 0.005, 0.196], [0.211, 0.211, 0.333], [0.345, 0.345, 0.007], [0.403, 0.403, 0.446], [0.597, 0.597, 0.554], [0.655, 0.655, 0.993], [0.789, 0.789, 0.667], [0.995, 0.995, 0.804], [0.181, 0.181, 0.758], [0.819, 0.819, 0.242], [0.500, 0.500, 0.000]],
  "spacegroup": "No. 12",
  "formation_enthalpy_0k_ev_per_atom": -0.38,
  "final_energy_ev_per_cell": -27.0
}


# 4
{
  "formula": "SrTl4As2",
  "functional": "PBE",
  "state": "optimized geometry",
  "cell": [[-3.170, 3.170, 7.384], [3.170, -3.170, 7.384], [3.170, 3.170, -7.384]],
  "species": ["Sr", "Tl", "Tl", "Tl", "Tl", "As", "As"],
  "frac_coords": [[0.000, 0.000, 0.000], [0.000, 0.500, 0.500], [0.233, 0.233, 0.000], [0.500, 0.000, 0.500], [0.767, 0.767, 0.000], [0.417, 0.417, 0.000], [0.583, 0.583, 0.000]],
  "spacegroup": "No. 139",
  "polymorph_energy_mev_per_atom": 569,
  "formation_enthalpy_0k_ev_per_atom": 0.28,
  "final_energy_ev_per_cell": -18.5
}


# 5
{
  "formula": "Sr2TlAs",
  "functional": "PBE",
  "state": "optimized geometry",
  "cell": [[-4.363, 4.363, 3.812], [4.363, -4.363, 3.812], [4.363, 4.363, -3.812]],
  "species": ["Sr", "Sr", "Sr", "Sr", "Tl", "Tl", "As", "As"],
  "frac_coords": [[0.083, 0.625, 0.958], [0.375, 0.333, 0.458], [0.667, 0.125, 0.042], [0.875, 0.917, 0.542], [0.250, 0.750, 0.500], [0.500, 0.500, 0.000], [0.000, 0.000, 0.000], [0.750, 0.250, 0.500]],
  "spacegroup": "No. 122",
  "polymorph_energy_mev_per_atom": 219,
  "formation_enthalpy_0k_ev_per_atom": -0.49,
  "final_energy_ev_per_cell": -24.7
}


# 6
{
  "formula": "SrTlAs2",
  "functional": "PBE",
  "state": "optimized geometry",
  "cell": [[3.491, 0.000, 0.000], [0.000, 3.491, 0.000], [0.000, 0.000, 8.921]],
  "species": ["Sr", "Tl", "As", "As"],
  "frac_coords": [[0.000, 0.000, 0.000], [0.000, 0.000, 0.500], [0.500, 0.500, 0.243], [0.500, 0.500, 0.757]],
  "spacegroup": "No. 123",
  "polymorph_energy_mev_per_atom": 236,
  "formation_enthalpy_0k_ev_per_atom": -0.23,
  "final_energy_ev_per_cell": -14.3
}


# 7
{
  "formula": "SrTl2As",
  "functional": "PBE",
  "state": "optimized geometry",
  "cell": [[0.000, 3.886, 3.886], [3.886, 0.000, 3.886], [3.886, 3.886, 0.000]],
  "species": ["Sr", "Tl", "Tl", "As"],
  "frac_coords": [[0.000, 0.000, 0.000], [0.250, 0.250, 0.250], [0.500, 0.500, 0.500], [0.750, 0.750, 0.750]],
  "spacegroup": "No. 216",
  "polymorph_energy_mev_per_atom": 177,
  "formation_enthalpy_0k_ev_per_atom": -0.28,
  "final_energy_ev_per_cell": -12.2
}


# 8
{
  "formula": "Sr2TlAs",
  "functional": "PBE",
  "state": "optimized geometry",
  "cell": [[0.000, 3.991, 3.991], [3.991, 0.000, 3.991], [3.991, 3.991, 0.000]],
  "species": ["Sr", "Sr", "Tl", "As"],
  "frac_coords": [[0.000, 0.000, 0.000], [0.250, 0.250, 0.250], [0.750, 0.750, 0.750], [0.500, 0.500, 0.500]],
  "spacegroup": "No. 216",
  "polymorph_energy_mev_per_atom": 515,
  "formation_enthalpy_0k_ev_per_atom": -0.19,
  "final_energy_ev_per_cell": -11.2
}


# 9
{
  "formula": "SrTlAs2",
  "functional": "PBE",
  "state": "optimized geometry",
  "cell": [[-1.927, 2.506, 5.716], [1.927, -2.506, 5.716], [1.927, 2.506, -5.716]],
  "species": ["Sr", "Tl", "As", "As"],
  "frac_coords": [[0.000, 0.000, 0.000], [0.278, 0.778, 0.500], [0.523, 0.523, 0.000], [0.688, 0.188, 0.500]],
  "spacegroup": "No. 44",
  "polymorph_energy_mev_per_atom": 71,
  "formation_enthalpy_0k_ev_per_atom": -0.40,
  "final_energy_ev_per_cell": -14.9
}


# 10
{
  "formula": "SrTlAs2",
  "functional": "PBE",
  "state": "optimized geometry",
  "cell": [[5.987, -2.113, 0.000], [5.987, 2.113, 0.000], [-1.372, 0.000, 4.630]],
  "species": ["Sr", "Tl", "As", "As"],
  "frac_coords": [[0.000, 0.000, 0.000], [0.267, 0.267, 0.496], [0.526, 0.526, 0.525], [0.709, 0.709, 0.914]],
  "spacegroup": "No. 8",
  "polymorph_energy_mev_per_atom": 16,
  "formation_enthalpy_0k_ev_per_atom": -0.45,
  "final_energy_ev_per_cell": -15.1
}


# 11
{
  "formula": "SrTl3As",
  "functional": "PBE",
  "state": "optimized geometry",
  "cell": [[6.092, 0.000, 0.000], [0.000, 6.092, 0.000], [0.000, 0.000, 6.092]],
  "species": ["Sr", "Tl", "Tl", "Tl", "As"],
  "frac_coords": [[0.000, 0.000, 0.000], [0.000, 0.000, 0.500], [0.000, 0.500, 0.000], [0.500, 0.000, 0.000], [0.500, 0.500, 0.500]],
  "spacegroup": "No. 221",
  "polymorph_energy_mev_per_atom": 701,
  "formation_enthalpy_0k_ev_per_atom": 0.80,
  "final_energy_ev_per_cell": -9.4
}


# 12
{
  "formula": "SrTl2As",
  "functional": "PBE",
  "state": "optimized geometry",
  "cell": [[4.796, 0.000, 0.000], [0.000, 4.199, 0.000], [-2.360, 0.000, 6.138]],
  "species": ["Sr", "Tl", "Tl", "As"],
  "frac_coords": [[0.000, 0.000, 0.000], [0.291, 0.500, 0.587], [0.714, 0.000, 0.433], [0.540, 0.500, 0.081]],
  "spacegroup": "No. 6",
  "polymorph_energy_mev_per_atom": 0,
  "formation_enthalpy_0k_ev_per_atom": -0.46,
  "final_energy_ev_per_cell": -12.9
}


# 13
{
  "formula": "SrTlAs2",
  "functional": "PBE",
  "state": "optimized geometry",
  "cell": [[0.000, 3.773, 3.773], [3.773, 0.000, 3.773], [3.773, 3.773, 0.000]],
  "species": ["Sr", "Tl", "As", "As"],
  "frac_coords": [[0.000, 0.000, 0.000], [0.500, 0.500, 0.500], [0.250, 0.250, 0.250], [0.750, 0.750, 0.750]],
  "spacegroup": "No. 225",
  "polymorph_energy_mev_per_atom": 260,
  "formation_enthalpy_0k_ev_per_atom": -0.21,
  "final_energy_ev_per_cell": -14.2
}


# 14
{
  "formula": "SrTlAs2",
  "functional": "PBE",
  "state": "optimized geometry",
  "cell": [[0.000, 3.750, 3.750], [3.750, 0.000, 3.750], [3.750, 3.750, 0.000]],
  "species": ["Sr", "Tl", "As", "As"],
  "frac_coords": [[0.000, 0.000, 0.000], [0.250, 0.250, 0.250], [0.500, 0.500, 0.500], [0.750, 0.750, 0.750]],
  "spacegroup": "No. 216",
  "polymorph_energy_mev_per_atom": 312,
  "formation_enthalpy_0k_ev_per_atom": -0.15,
  "final_energy_ev_per_cell": -14.0
}


# 15
{
  "formula": "SrTl4As2",
  "functional": "PBE",
  "state": "optimized geometry",
  "cell": [[2.291, -10.145, 0.000], [2.291, 10.145, 0.000], [0.000, 0.000, 4.560]],
  "species": ["Sr", "Tl", "Tl", "Tl", "Tl", "As", "As"],
  "frac_coords": [[0.000, 0.000, 0.000], [0.171, 0.829, 0.500], [0.331, 0.669, 0.000], [0.669, 0.331, 0.000], [0.829, 0.171, 0.500], [0.437, 0.563, 0.500], [0.563, 0.437, 0.500]],
  "spacegroup": "No. 65",
  "polymorph_energy_mev_per_atom": 0,
  "formation_enthalpy_0k_ev_per_atom": -0.29,
  "final_energy_ev_per_cell": -22.5
}